1.
{"formula": "Sm5IrSe5", "functional": "PBE", "state": "optimized geometry", "magnetic_moment_mub_per_atom": 0.000, "dos_at_fermi_per_ev_cell": 7.9, "total_energy_ev_per_atom": -6.161, "lattice_angstrom": [[6.662, -2.960, 0.000], [6.662, 2.960, 0.000], [-2.615, 0.000, 7.917]], "species": ["Sm", "Sm", "Sm", "Sm", "Sm", "Ir", "Se", "Se", "Se", "Se", "Se"], "frac_coords": [[0.000, 0.000, 0.000], [0.341, 0.341, 0.673], [0.348, 0.348, 0.164], [0.652, 0.652, 0.836], [0.659, 0.659, 0.327], [0.500, 0.500, 0.000], [0.172, 0.172, 0.839], [0.179, 0.179, 0.332], [0.500, 0.500, 0.500], [0.821, 0.821, 0.668], [0.828, 0.828, 0.161]]}



2.
{"formula": "Sm3IrSe2", "functional": "PBE", "state": "optimized geometry", "magnetic_moment_mub_per_atom": 0.000, "dos_at_fermi_per_ev_cell": 9.9, "total_energy_ev_per_atom": -6.424, "lattice_angstrom": [[3.724, -6.275, 0.000], [3.724, 6.275, 0.000], [-2.393, 0.000, 6.691]], "species": ["Sm", "Sm", "Sm", "Sm", "Sm", "Sm", "Ir", "Ir", "Se", "Se", "Se", "Se"], "frac_coords": [[0.000, 0.500, 0.000], [0.149, 0.299, 0.497], [0.299, 0.149, 0.997], [0.500, 0.000, 0.500], [0.701, 0.851, 0.003], [0.851, 0.701, 0.503], [0.089, 0.911, 0.250], [0.911, 0.089, 0.750], [0.257, 0.743, 0.750], [0.418, 0.582, 0.250], [0.582, 0.418, 0.750], [0.743, 0.257, 0.250]]}



3.
{"formula": "Sm3IrSe2", "functional": "PBE", "state": "optimized geometry", "magnetic_moment_mub_per_atom": 0.000, "dos_at_fermi_per_ev_cell": 15.2, "total_energy_ev_per_atom": -6.445, "lattice_angstrom": [[0.000, 5.953, 12.427], [4.251, 0.000, 12.427], [4.251, 5.953, 0.000]], "species": ["Sm", "Sm", "Sm", "Sm", "Sm", "Sm", "Sm", "Sm", "Sm", "Sm", "Sm", "Sm", "Ir", "Ir", "Ir", "Ir", "Se", "Se", "Se", "Se", "Se", "Se", "Se", "Se"], "frac_coords": [[0.038, 0.537, 0.192], [0.104, 0.646, 0.646], [0.192, 0.733, 0.038], [0.267, 0.808, 0.463], [0.354, 0.896, 0.896], [0.463, 0.962, 0.267], [0.537, 0.038, 0.733], [0.646, 0.104, 0.104], [0.733, 0.192, 0.537], [0.808, 0.267, 0.962], [0.896, 0.354, 0.354], [0.962, 0.463, 0.808], [0.041, 0.041, 0.209], [0.209, 0.209, 0.041], [0.791, 0.791, 0.959], [0.959, 0.959, 0.791], [0.127, 0.127, 0.623], [0.295, 0.295, 0.455], [0.377, 0.377, 0.873], [0.455, 0.455, 0.295], [0.545, 0.545, 0.705], [0.623, 0.623, 0.127], [0.705, 0.705, 0.545], [0.873, 0.873, 0.377]]}



4.
{"formula": "SmIrSe2", "functional": "PBE", "state": "optimized geometry", "magnetic_moment_mub_per_atom": 0.000, "dos_at_fermi_per_ev_cell": 1.1, "total_energy_ev_per_atom": -5.501, "lattice_angstrom": [[1.906, 1.100, 8.309], [-1.906, 1.100, 8.309], [0.000, -2.200, 8.309]], "species": ["Sm", "Ir", "Se", "Se"], "frac_coords": [[0.000, 0.000, 0.000], [0.500, 0.500, 0.500], [0.117, 0.117, 0.117], [0.883, 0.883, 0.883]]}



5.
{"formula": "Sm4TeIrSe2", "functional": "PBE", "state": "optimized geometry", "magnetic_moment_mub_per_atom": 0.000, "dos_at_fermi_per_ev_cell": 6.7, "total_energy_ev_per_atom": -6.133, "lattice_angstrom": [[7.415, 0.000, 0.000], [0.000, 4.177, 0.000], [-2.396, 0.000, 7.112]], "species": ["Sm", "Sm", "Sm", "Sm", "Te", "Ir", "Se", "Se"], "frac_coords": [[0.232, 0.000, 0.220], [0.252, 0.500, 0.775], [0.748, 0.500, 0.225], [0.768, 0.000, 0.780], [0.000, 0.000, 0.500], [0.000, 0.500, 0.000], [0.500, 0.000, 0.000], [0.500, 0.500, 0.500]]}



6.
{"formula": "Sm6Te3Ir2Se", "functional": "PBE", "state": "optimized geometry", "magnetic_moment_mub_per_atom": 0.000, "dos_at_fermi_per_ev_cell": 4.2, "total_energy_ev_per_atom": -6.173, "lattice_angstrom": [[9.586, -2.114, 0.000], [9.586, 2.114, 0.000], [-2.510, 0.000, 8.513]], "species": ["Sm", "Sm", "Sm", "Sm", "Sm", "Sm", "Te", "Te", "Te", "Ir", "Ir", "Se"], "frac_coords": [[0.016, 0.016, 0.248], [0.325, 0.325, 0.435], [0.332, 0.332, 0.874], [0.668, 0.668, 0.126], [0.675, 0.675, 0.565], [0.984, 0.984, 0.752], [0.159, 0.159, 0.843], [0.500, 0.500, 0.500], [0.841, 0.841, 0.157], [0.168, 0.168, 0.339], [0.832, 0.832, 0.661], [0.500, 0.500, 0.000]]}